A plane-wave DFT calculation with PBE was carried out for La9In2Sn after structural relaxation.

Results
The value obtained for the formation energy from the elements is -0.3666 eV per atom. The space group is P4/mmm, No. 123. The value obtained for the calculated density is 6.857 Mg/m³.

Cell: 5.0553 5.0553 15.1482 Å, 90.00 90.00 90.00°
Closest atoms and distances in Å follow each position.
Positions (direct):
La  0.5000  0.0000  0.5000  8 La 3.56-3.57, 4 In 3.58
In  0.0000  0.0000  0.6672  12 La 3.57-3.59
La  0.5000  0.5000  0.6659  8 La 3.56-3.60, 4 In 3.57
La  0.5000  0.5000  0.0000  8 La 3.55, 4 Sn 3.57
La  0.5000  0.0000  0.8354  8 La 3.55-3.60, 2 Sn 3.55, 2 In 3.59
In  0.0000  0.0000  0.3328  12 La 3.57-3.59
La  0.0000  0.5000  0.1646  8 La 3.55-3.60, 2 Sn 3.55, 2 In 3.59
La  0.5000  0.5000  0.3341  8 La 3.56-3.60, 4 In 3.57
La  0.5000  0.0000  0.1646  8 La 3.55-3.60, 2 Sn 3.55, 2 In 3.59
La  0.0000  0.5000  0.5000  8 La 3.56-3.57, 4 In 3.58
Sn  0.0000  0.0000  0.0000  12 La 3.55-3.57
La  0.0000  0.5000  0.8354  2 Sn 3.55, 8 La 3.55-3.60, 2 In 3.59